Density functional theory data (PBE-GGA) for Ta2VAuN after structural relaxation.

Cell: 4.277 4.277 3.954 Å, 90.00 90.00 90.00°
Fractional positions:
N 0.000 0.000 0.000
V 0.000 0.000 0.500
Au 0.500 0.500 0.500
Ta 0.000 0.500 0.000
Ta 0.500 0.000 0.000

Results
Space-group type: No. 123
Formation energy (no corrections) (eV/atom): -0.50
Magnetization (μB/f.u.): 0.001

Density functional theory data (PBE-GGA) for Tb2AuN after structural relaxation.

Cell: 3.569 3.569 7.547 Å, 76.32 76.32 60.00°
Fractional positions:
Tb 0.771 0.771 0.688
Tb 0.229 0.229 0.312
Au 0.000 0.000 0.000
N 0.500 0.500 0.500

Results
Space-group type: No. 166
Formation energy (no corrections) (eV/atom): -1.07
Magnetization (μB/f.u.): 0.001

Density functional theory data (PBE-GGA) for TbAuN after structural relaxation.

Cell: 3.465 3.465 9.461 Å, 100.55 100.55 90.00°
Fractional positions:
Au 0.070 0.070 0.140
Au 0.930 0.930 0.860
Tb 0.682 0.682 0.364
Tb 0.318 0.318 0.636
N 0.807 0.807 0.615
N 0.193 0.193 0.385

Results
Space-group type: No. 139
Formation energy (no corrections) (eV/atom): -0.97
Magnetization (μB/f.u.): 0.000

Density functional theory data (PBE-GGA) for Tb4Au2N after structural relaxation.

Cell: 4.759 4.759 8.042 Å, 72.79 72.79 90.00°
Fractional positions:
Tb 0.827 0.827 0.347
Tb 0.173 0.173 0.653
Tb 0.000 0.500 0.000
Tb 0.500 0.000 0.000
Au 0.630 0.630 0.739
Au 0.370 0.370 0.261
N 0.000 0.000 0.000

Results
Space-group type: No. 139
Formation energy (no corrections) (eV/atom): -0.90
Magnetization (μB/f.u.): 0.000

Density functional theory data (PBE-GGA) for TcAuN after structural relaxation.

Cell: 3.268 3.268 8.874 Å, 81.74 98.26 114.76°
Fractional positions:
Au 0.355 0.645 0.120
Au 0.645 0.355 0.880
N 0.745 0.255 0.410
N 0.255 0.745 0.590
Tc 0.922 0.078 0.638
Tc 0.078 0.922 0.362

Results
Space-group type: No. 12
Formation energy (no corrections) (eV/atom): 0.18
Magnetization (μB/f.u.): 0.000

Density functional theory data (PBE-GGA) for TcAu3N after structural relaxation.

Cell: 4.376 4.376 4.376 Å, 90.00 90.00 90.00°
Fractional positions:
Au 0.000 0.500 0.000
Au 0.000 0.000 0.500
Au 0.500 0.000 0.000
Tc 0.500 0.500 0.500
N 0.000 0.000 0.000

Results
Space-group type: No. 221
Energy above the most stable polymorph in this dataset (meV per atom): 0
Formation energy (no corrections) (eV/atom): 1.18
Magnetization (μB/f.u.): 3.203